[1]
# ZnAgN2 PBE relaxed
data_ZnAgN2
_chemical_formula_sum 'Zn3 Ag3 N6'
_symmetry_space_group_name_H-M 'R -3 m'
_symmetry_Int_Tables_number 166
_symmetry_space_group_name_Hall '-R 3 2"'
_cell_length_a 3.0800
_cell_length_b 3.0800
_cell_length_c 18.5175
_cell_angle_alpha 90.00
_cell_angle_beta 90.00
_cell_angle_gamma 120.00
loop_
_atom_site_label
_atom_site_fract_x
_atom_site_fract_y
_atom_site_fract_z
_atom_site_occupancy
Zn1 0.0000 0.0000 0.0000 1
Ag1 0.0000 0.0000 0.5000 1
N1 0.0000 0.0000 0.3893 1
# - Uncorrected formation energy: 1.226 eV/atom

=====

[2]
# HgGeAs PBE relaxed
data_HgGeAs
_chemical_formula_sum 'Hg1 Ge1 As1'
_symmetry_space_group_name_H-M 'P 3 m 1'
_symmetry_Int_Tables_number 156
_cell_length_a 3.8450
_cell_length_b 3.8450
_cell_length_c 5.6266
_cell_angle_alpha 90.00
_cell_angle_beta 90.00
_cell_angle_gamma 120.00
loop_
_symmetry_equiv_pos_as_xyz
'x,y,z'
'-y,x-y,z'
'-x+y,-x,z'
'-y,-x,z'
'-x+y,y,z'
'x,x-y,z'
loop_
_atom_site_label
_atom_site_fract_x
_atom_site_fract_y
_atom_site_fract_z
_atom_site_occupancy
Hg1 0.0000 0.0000 0.0000 1
Ge1 0.3333 0.6667 0.6188 1
As1 0.6667 0.3333 0.4000 1
# - E_form: 0.069 eV per atom

=====

no.,total DFT energy (no corrections) (eV/f.u.)
1,-15.9
2,-9.4